Record 1
Entry from Alexandria: a geometry-optimized LiDyAl3Cu structure (PBE).

energy of formation: -0.136 eV per atom
DOS(E_F): 2.646 states/eV/f.u.
total energy: -0.2775 Ry/atom

abc: 5.9429 12.6251 5.9363
angles: 90.00 90.00 90.00
Last column: nearest neighbours and their distance in Å.
Space group Cmcm (No. 63)
Unique sites:
1 Li 0.0000 0.1500 0.2500 [4 per cell]  5 Al 2.70-2.73
2 Dy 0.0000 0.2064 0.7500 [4 per cell]  1 Cu 2.71
3 Al 0.0000 0.3642 0.2500 [4 per cell]  1 Li 2.70, 1 Cu 2.71, 4 Al 2.83
4 Al 0.2160 0.0000 0.0000 [8 per cell]  2 Cu 2.46, 1 Al 2.57, 2 Li 2.73
5 Cu 0.0000 0.4213 0.7500 [4 per cell]  5 Al 2.46-2.71, 1 Dy 2.71

Record 2
Entry from Alexandria: a geometry-optimized LiDyAl2Cu4 structure (PBE).

energy of formation: -0.270 eV per atom
DOS(E_F): 3.100 states/eV/f.u.
total energy: -0.2990 Ry/atom

abc: 4.2247 4.2247 23.7385
angles: 90.00 90.00 120.00
Last column: nearest neighbours and their distance in Å.
Space group R-3m (No. 166, hexagonal axes)
Unique sites:
1 Li 0.0000 0.0000 0.0000 [3 per cell]  8 Cu 2.36-2.60
2 Dy 0.0000 0.0000 0.5000 [3 per cell]  8 Cu 2.92-3.06
3 Al 0.0000 0.0000 0.2598 [6 per cell]  7 Cu 2.51-2.64
4 Cu 0.0000 0.0000 0.0993 [6 per cell]  1 Li 2.36, 3 Al 2.51
5 Cu 0.0000 0.0000 0.3712 [6 per cell]  4 Al 2.58-2.64, 3 Li 2.60, 3 Cu 2.84

Record 3
Entry from Alexandria: a geometry-optimized LiDy2AlCu6 structure (PBE).

energy of formation: -0.152 eV per atom
DOS(E_F): 4.005 states/eV/f.u.
total energy: -0.3010 Ry/atom

abc: 5.1411 6.1076 6.5294
angles: 115.30 99.67 106.74
Last column: nearest neighbours and their distance in Å.
Space group P-1 (No. 2)
Unique sites:
1 Li 0.0000 0.0000 0.0000 [1 per cell]  4 Cu 2.44-2.71
2 Dy 0.4969 0.6172 0.2998 [2 per cell]  8 Cu 2.80-3.03, 2 Al 3.10-3.11
3 Al 0.0000 0.5000 0.5000 [1 per cell]  4 Cu 2.49
4 Cu 0.0912 0.8638 0.3410 [2 per cell]  4 Cu 2.54-2.82, 1 Li 2.71, 1 Al 2.79
5 Cu 0.1525 0.6398 0.9345 [2 per cell]  1 Li 2.44, 1 Al 2.49, 5 Cu 2.50-2.60
6 Cu 0.4284 0.9250 0.7747 [2 per cell]  1 Al 2.49, 3 Cu 2.52-2.60

Record 4
Entry from Alexandria: a geometry-optimized DyLuAlCu structure (PBE).

energy of formation: -0.299 eV per atom
DOS(E_F): 3.552 states/eV/f.u.
total energy: -0.3336 Ry/atom

abc: 7.0512 7.0512 7.0512
angles: 90.00 90.00 90.00
Last column: nearest neighbours and their distance in Å.
Space group F-43m (No. 216)
Unique sites:
1 Dy 0.0000 0.0000 0.0000 [4 per cell]  4 Cu 3.05, 4 Al 3.05
2 Lu 0.0000 0.0000 0.5000 [4 per cell]  4 Al 3.05, 4 Cu 3.05
3 Al 0.2500 0.2500 0.7500 [4 per cell]  4 Dy 3.05, 4 Lu 3.05
4 Cu 0.2500 0.2500 0.2500 [4 per cell]  4 Lu 3.05, 4 Dy 3.05